VASP calculation (GGA+U) on Ba2Al2CrO6 after structural relaxation.

Lattice parameters (Å, degrees): 6.560 6.560 6.560 52.47 52.47 52.47
Fractional positions:
1 Ba 0.218 0.218 0.218
2 Ba 0.782 0.782 0.782
3 Al 0.422 0.422 0.422
4 Al 0.578 0.578 0.578
5 Cr 0.000 0.000 0.000
6 O 0.237 0.237 0.751
7 O 0.237 0.751 0.237
8 O 0.249 0.763 0.763
9 O 0.751 0.237 0.237
10 O 0.763 0.249 0.763
11 O 0.763 0.763 0.249

## Properties
Its volume is 14.9 Å³/atom. For the total energy, the calculation gives -75.16 eV per cell. As for the space group: R-3m. The total magnetization is 4.0 μB per formula unit.